1.
TmInHgTe3 | PBE-GGA | relaxed

Offset from the most stable computed form, meV/atom: 42.4
Electronic total energy, Ry/atom: -0.2533

Lattice parameters (Å, degrees): 8.6032 4.4001 11.0426 90.00 107.42 90.00
Fractional positions:
Hg: 0.5834 0.2500 0.1171
Hg: 0.4166 0.7500 0.8829
In: 0.2359 0.7500 0.2143
In: 0.7641 0.2500 0.7857
Te: 0.7662 0.7500 0.0563
Te: 0.0594 0.2500 0.3586
Te: 0.5628 0.2500 0.3660
Te: 0.4372 0.7500 0.6340
Te: 0.9406 0.7500 0.6414
Te: 0.2338 0.2500 0.9437
Tm: 0.8101 0.7500 0.3551
Tm: 0.1899 0.2500 0.6449


2.
HoBiTe | PBE-GGA | relaxed

Electronic total energy, Ry/atom: -0.3082

Lattice parameters (Å, degrees): 5.2074 5.2074 5.2074 60.00 60.00 60.00
Fractional positions:
Bi: 0.2500 0.2500 0.2500
Ho: 0.7500 0.7500 0.7500
Te: 0.0000 0.0000 0.0000


3.
Dy2AgOs | PBE-GGA | relaxed

Electronic total energy, Ry/atom: -0.4514

Lattice parameters (Å, degrees): 3.4032 3.4032 7.5811 90.00 90.00 90.00
Fractional positions:
Ag: 0.5000 0.5000 0.5000
Dy: 0.0000 0.0000 0.2205
Dy: 0.0000 0.0000 0.7795
Os: 0.5000 0.5000 0.0000


4.
Pr2Si | PBE-GGA | relaxed

Electronic total energy, Ry/atom: -0.3982

Lattice parameters (Å, degrees): 5.0712 5.0712 5.0712 60.00 60.00 60.00
Fractional positions:
Pr: 0.2500 0.2500 0.2500
Pr: 0.7500 0.7500 0.7500
Si: 0.0000 0.0000 0.0000


5.
TbTm2In3CuPd2 | PBE-GGA | relaxed

Electronic total energy, Ry/atom: -0.3442

Lattice parameters (Å, degrees): 3.8234 7.6364 7.6364 120.15 90.00 90.00
Fractional positions:
Cu: 0.0000 0.9990 0.9990
In: 0.5000 0.9988 0.2521
In: 0.5000 0.7486 0.7486
In: 0.5000 0.2521 0.9988
Pd: 0.5000 0.6688 0.3324
Pd: 0.5000 0.3324 0.6688
Tb: 0.0000 0.4096 0.4096
Tm: 0.0000 0.5905 0.0001
Tm: 0.0000 0.0001 0.5905


6.
LiHfNb2 | PBE-GGA | relaxed

Electronic total energy, Ry/atom: -0.5723

Lattice parameters (Å, degrees): 4.6639 4.6639 4.6639 60.00 60.00 60.00
Fractional positions:
Hf: 0.2500 0.2500 0.2500
Li: 0.5000 0.5000 0.5000
Nb: 0.0000 0.0000 0.0000
Nb: 0.7500 0.7500 0.7500


7.
Gd2ErMg4Tl2 | PBE-GGA | relaxed

Electronic total energy, Ry/atom: -0.2203

Lattice parameters (Å, degrees): 4.6521 7.5811 7.5811 119.57 90.00 90.00
Fractional positions:
Er: 0.0000 0.5652 0.5652
Gd: 0.0000 0.4349 0.0013
Gd: 0.0000 0.0013 0.4349
Mg: 0.5000 0.7576 0.0002
Mg: 0.5000 0.2415 0.2415
Mg: 0.5000 0.0002 0.7576
Mg: 0.0000 0.9965 0.9965
Tl: 0.5000 0.6666 0.3362
Tl: 0.5000 0.3362 0.6666


8.
InCuIrOs | PBE-GGA | relaxed

Offset from the most stable computed form, meV/atom: 0.0
Electronic total energy, Ry/atom: -0.4556

Lattice parameters (Å, degrees): 4.4390 4.4390 4.4390 60.00 60.00 60.00
Fractional positions:
Cu: 0.7500 0.7500 0.7500
In: 0.0000 0.0000 0.0000
Ir: 0.5000 0.5000 0.5000
Os: 0.2500 0.2500 0.2500


Question: Look up the electronic total energy of the first one.
Answer: -0.2533 Ry/atom